Entry 1:
AlV2Te: relaxed, GGA-PBE.

DOS(E_F): 0.725 states/eV per atom
Relative energy among the computed polymorphs: 0.115 eV per atom
Total magnetization: 0.0 Bohr magnetons per cell
ΔE_f (raw): 1.46 eV per formula unit

a b c (Å): 9.759 9.759 9.759
angles (deg): 156.90 156.90 32.89
Fractional positions:
Al (0.000, 0.000, 0.000)
Al (0.750, 0.250, 0.500)
V (0.097, 0.625, 0.972)
V (0.375, 0.347, 0.472)
V (0.653, 0.125, 0.028)
V (0.875, 0.903, 0.528)
Te (0.250, 0.750, 0.500)
Te (0.500, 0.500, 0.000)

***

Entry 2:
Al2VTe6: relaxed, GGA-PBE.

DOS(E_F): 0.471 states/eV per atom
Total magnetization: 2.3 Bohr magnetons per cell
ΔE_f (raw): -2.08 eV per formula unit

a b c (Å): 8.906 8.906 7.503
angles (deg): 101.19 101.19 87.07
Fractional positions:
Al (0.101, 0.279, 0.319)
Al (0.279, 0.101, 0.819)
Al (0.721, 0.899, 0.181)
Al (0.899, 0.721, 0.681)
V (0.401, 0.599, 0.750)
V (0.599, 0.401, 0.250)
Te (0.020, 0.169, 0.594)
Te (0.124, 0.544, 0.809)
Te (0.169, 0.020, 0.094)
Te (0.323, 0.476, 0.383)
Te (0.456, 0.876, 0.691)
Te (0.476, 0.323, 0.883)
Te (0.524, 0.677, 0.117)
Te (0.544, 0.124, 0.309)
Te (0.677, 0.524, 0.617)
Te (0.831, 0.980, 0.906)
Te (0.876, 0.456, 0.191)
Te (0.980, 0.831, 0.406)

***

Entry 3:
AlVTe4: relaxed, GGA-PBE.

DOS(E_F): 0.511 states/eV per atom
Relative energy among the computed polymorphs: 0.000 eV per atom
Total magnetization: 0.8 Bohr magnetons per cell
ΔE_f (raw): -1.52 eV per formula unit

a b c (Å): 7.345 7.345 6.934
angles (deg): 114.95 114.95 29.41
Fractional positions:
Al (0.000, 0.000, 0.000)
V (0.500, 0.500, 0.500)
Te (0.126, 0.126, 0.778)
Te (0.374, 0.374, 0.703)
Te (0.626, 0.626, 0.297)
Te (0.874, 0.874, 0.222)

***

Entry 4:
AlVTe4: relaxed, GGA-PBE.

DOS(E_F): 0.648 states/eV per atom
Relative energy among the computed polymorphs: 0.004 eV per atom
Total magnetization: 0.9 Bohr magnetons per cell
ΔE_f (raw): -1.50 eV per formula unit

a b c (Å): 6.798 3.604 7.542
angles (deg): 90.00 106.91 90.00
Fractional positions:
Al (0.000, 0.000, 0.000)
V (0.500, 0.500, 0.000)
Te (0.258, 0.500, 0.235)
Te (0.259, 0.000, 0.766)
Te (0.741, 0.000, 0.234)
Te (0.742, 0.500, 0.765)

***

Entry 5:
AlV2Te4: relaxed, GGA-PBE.

DOS(E_F): 1.027 states/eV per atom
Total magnetization: 9.8 Bohr magnetons per cell
ΔE_f (raw): -2.10 eV per formula unit

a b c (Å): 8.159 8.159 8.159
angles (deg): 60.00 60.00 60.00
Fractional positions:
Al (0.125, 0.125, 0.125)
Al (0.875, 0.875, 0.875)
V (0.000, 0.500, 0.500)
V (0.500, 0.000, 0.500)
V (0.500, 0.500, 0.000)
V (0.500, 0.500, 0.500)
Te (0.259, 0.259, 0.259)
Te (0.259, 0.259, 0.723)
Te (0.259, 0.723, 0.259)
Te (0.277, 0.741, 0.741)
Te (0.723, 0.259, 0.259)
Te (0.741, 0.277, 0.741)
Te (0.741, 0.741, 0.277)
Te (0.741, 0.741, 0.741)

***

Entry 6:
AlV2Te6: relaxed, GGA-PBE.

DOS(E_F): 0.823 states/eV per atom
Total magnetization: 4.1 Bohr magnetons per cell
ΔE_f (raw): -1.53 eV per formula unit

a b c (Å): 6.422 6.422 12.225
angles (deg): 90.00 90.00 90.00
Fractional positions:
Al (0.000, 0.000, 0.000)
Al (0.500, 0.500, 0.500)
V (0.000, 0.000, 0.332)
V (0.000, 0.000, 0.668)
V (0.500, 0.500, 0.168)
V (0.500, 0.500, 0.832)
Te (0.193, 0.193, 0.500)
Te (0.200, 0.200, 0.171)
Te (0.200, 0.200, 0.829)
Te (0.300, 0.700, 0.329)
Te (0.300, 0.700, 0.671)
Te (0.307, 0.693, 0.000)
Te (0.693, 0.307, 0.000)
Te (0.700, 0.300, 0.329)
Te (0.700, 0.300, 0.671)
Te (0.800, 0.800, 0.171)
Te (0.800, 0.800, 0.829)
Te (0.807, 0.807, 0.500)

***

Entry 7:
Al2TeW: relaxed, GGA-PBE.

DOS(E_F): 0.661 states/eV per atom
Total magnetization: 0.0 Bohr magnetons per cell
ΔE_f (raw): 0.89 eV per formula unit

a b c (Å): 3.448 3.448 6.019
angles (deg): 90.00 90.00 90.00
Fractional positions:
Al (0.000, 0.000, 0.212)
Al (0.000, 0.000, 0.788)
Te (0.500, 0.500, 0.500)
W (0.500, 0.500, 0.000)

***

Entry 8:
Al2TeW: relaxed, GGA-PBE.

DOS(E_F): 0.588 states/eV per atom
Total magnetization: 0.0 Bohr magnetons per cell
ΔE_f (raw): 1.27 eV per formula unit

a b c (Å): 9.834 9.834 9.834
angles (deg): 17.63 17.63 17.63
Fractional positions:
Al (0.239, 0.239, 0.239)
Al (0.761, 0.761, 0.761)
Te (0.000, 0.000, 0.000)
W (0.500, 0.500, 0.500)

***

Entry 9:
Al2TeW: relaxed, GGA-PBE.

DOS(E_F): 0.557 states/eV per atom
Total magnetization: 0.0 Bohr magnetons per cell
ΔE_f (raw): 1.32 eV per formula unit

a b c (Å): 4.917 4.917 4.940
angles (deg): 97.06 97.06 38.14
Fractional positions:
Al (0.000, 0.000, 0.000)
Al (0.244, 0.244, 0.768)
Te (0.467, 0.467, 0.462)
W (0.739, 0.739, 0.220)

***

Entry 10:
Al3TeW: relaxed, GGA-PBE.

DOS(E_F): 0.849 states/eV per atom
Relative energy among the computed polymorphs: 0.000 eV per atom
Total magnetization: 1.0 Bohr magnetons per cell
ΔE_f (raw): 4.10 eV per formula unit

a b c (Å): 4.971 4.971 4.971
angles (deg): 90.00 90.00 90.00
Fractional positions:
Al (0.000, 0.000, 0.500)
Al (0.000, 0.500, 0.000)
Al (0.500, 0.000, 0.000)
Te (0.500, 0.500, 0.500)
W (0.000, 0.000, 0.000)

***

Entry 11:
Al2TeW: relaxed, GGA-PBE.

DOS(E_F): 0.551 states/eV per atom
Total magnetization: 0.0 Bohr magnetons per cell
ΔE_f (raw): 1.19 eV per formula unit

a b c (Å): 3.225 3.225 7.691
angles (deg): 90.00 90.00 90.00
Fractional positions:
Al (0.000, 0.000, 0.000)
Al (0.500, 0.500, 0.215)
Te (0.000, 0.000, 0.590)
W (0.500, 0.500, 0.803)

***

Entry 12:
Al2TeW: relaxed, GGA-PBE.

DOS(E_F): 0.692 states/eV per atom
Total magnetization: 0.0 Bohr magnetons per cell
ΔE_f (raw): 1.76 eV per formula unit

a b c (Å): 5.163 5.163 5.163
angles (deg): 139.57 125.76 69.78
Fractional positions:
Al (0.000, 0.000, 0.000)
Al (0.771, 0.271, 0.500)
Te (0.252, 0.752, 0.500)
W (0.524, 0.524, 0.000)

***

Entry 13:
Al2TeW: relaxed, GGA-PBE.

DOS(E_F): 0.943 states/eV per atom
Total magnetization: 0.0 Bohr magnetons per cell
ΔE_f (raw): 2.24 eV per formula unit

a b c (Å): 3.415 4.556 4.626
angles (deg): 90.00 90.00 90.00
Fractional positions:
Al (0.000, 0.000, 0.000)
Al (0.500, 0.000, 0.500)
Te (0.000, 0.500, 0.500)
W (0.500, 0.500, 0.000)

***

Entry 14:
Al2TeW: relaxed, GGA-PBE.

DOS(E_F): 0.792 states/eV per atom
Total magnetization: 0.0 Bohr magnetons per cell
ΔE_f (raw): 1.95 eV per formula unit

a b c (Å): 2.976 2.976 9.781
angles (deg): 90.00 90.00 112.46
Fractional positions:
Al (0.000, 0.000, 0.000)
Al (0.500, 0.500, 0.230)
Te (0.000, 0.000, 0.556)
W (0.500, 0.500, 0.785)

***

Entry 15:
AlTeW4: relaxed, GGA-PBE.

DOS(E_F): 0.814 states/eV per atom
Total magnetization: 0.0 Bohr magnetons per cell
ΔE_f (raw): 4.12 eV per formula unit

a b c (Å): 5.377 5.377 5.377
angles (deg): 60.00 60.00 60.00
Fractional positions:
Al (0.000, 0.000, 0.000)
Te (0.750, 0.750, 0.750)
W (0.375, 0.375, 0.375)
W (0.375, 0.375, 0.876)
W (0.375, 0.876, 0.375)
W (0.876, 0.375, 0.375)

***

Entry 16:
AlTe3W: relaxed, GGA-PBE.

DOS(E_F): 0.722 states/eV per atom
Relative energy among the computed polymorphs: 0.577 eV per atom
Total magnetization: 3.0 Bohr magnetons per cell
ΔE_f (raw): 6.09 eV per formula unit

a b c (Å): 5.208 5.208 5.208
angles (deg): 90.00 90.00 90.00
Fractional positions:
Al (0.000, 0.000, 0.000)
Te (0.000, 0.000, 0.500)
Te (0.000, 0.500, 0.000)
Te (0.500, 0.000, 0.000)
W (0.500, 0.500, 0.500)

***

Entry 17:
Al2TeW2: relaxed, GGA-PBE.

DOS(E_F): 0.459 states/eV per atom
Relative energy among the computed polymorphs: 0.000 eV per atom
Total magnetization: 0.0 Bohr magnetons per cell
ΔE_f (raw): 1.61 eV per formula unit

a b c (Å): 8.045 8.045 2.830
angles (deg): 90.00 90.00 90.00
Fractional positions:
Al (0.178, 0.322, 0.000)
Al (0.322, 0.822, 0.000)
Al (0.678, 0.178, 0.000)
Al (0.822, 0.678, 0.000)
Te (0.000, 0.000, 0.500)
Te (0.500, 0.500, 0.500)
W (0.113, 0.613, 0.500)
W (0.387, 0.113, 0.500)
W (0.613, 0.887, 0.500)
W (0.887, 0.387, 0.500)

***

Entry 18:
Al2TeW: relaxed, GGA-PBE.

DOS(E_F): 0.510 states/eV per atom
Total magnetization: 0.0 Bohr magnetons per cell
ΔE_f (raw): 1.60 eV per formula unit

a b c (Å): 5.135 5.135 2.869
angles (deg): 90.00 90.00 108.35
Fractional positions:
Al (0.000, 0.500, 0.000)
Al (0.500, 0.000, 0.000)
Te (0.000, 0.000, 0.500)
W (0.500, 0.500, 0.500)

***

Entry 19:
AlTeW3: relaxed, GGA-PBE.

DOS(E_F): 1.001 states/eV per atom
Relative energy among the computed polymorphs: 0.493 eV per atom
Total magnetization: 0.0 Bohr magnetons per cell
ΔE_f (raw): 12.10 eV per formula unit

a b c (Å): 4.859 4.859 4.859
angles (deg): 90.00 90.00 90.00
Fractional positions:
Al (0.000, 0.000, 0.000)
Te (0.500, 0.500, 0.500)
W (0.000, 0.500, 0.500)
W (0.500, 0.000, 0.500)
W (0.500, 0.500, 0.000)

***

Entry 20:
Al2TeW2: relaxed, GGA-PBE.

DOS(E_F): 0.898 states/eV per atom
Relative energy among the computed polymorphs: 0.150 eV per atom
Total magnetization: 0.0 Bohr magnetons per cell
ΔE_f (raw): 2.35 eV per formula unit

a b c (Å): 7.466 7.466 7.466
angles (deg): 152.49 152.49 39.29
Fractional positions:
Al (0.250, 0.750, 0.500)
Al (0.750, 0.250, 0.500)
Te (0.000, 0.000, 0.000)
W (0.396, 0.396, 0.000)
W (0.604, 0.604, 0.000)

***

Entry 21:
AlTeW3: relaxed, GGA-PBE.

DOS(E_F): 1.609 states/eV per atom
Relative energy among the computed polymorphs: 0.000 eV per atom
Total magnetization: 0.0 Bohr magnetons per cell
ΔE_f (raw): 9.64 eV per formula unit

a b c (Å): 4.634 4.634 4.634
angles (deg): 90.00 90.00 90.00
Fractional positions:
Al (0.000, 0.000, 0.000)
Te (0.500, 0.500, 0.500)
W (0.000, 0.000, 0.500)
W (0.000, 0.500, 0.000)
W (0.500, 0.000, 0.000)

***

Entry 22:
Al2TeW: relaxed, GGA-PBE.

DOS(E_F): 1.064 states/eV per atom
Total magnetization: 0.0 Bohr magnetons per cell
ΔE_f (raw): 2.91 eV per formula unit

a b c (Å): 6.029 6.029 6.029
angles (deg): 102.68 102.68 124.12
Fractional positions:
Al (0.106, 0.625, 0.981)
Al (0.375, 0.356, 0.481)
Al (0.644, 0.125, 0.019)
Al (0.875, 0.894, 0.519)
Te (0.250, 0.750, 0.500)
Te (0.500, 0.500, 0.000)
W (0.000, 0.000, 0.000)
W (0.750, 0.250, 0.500)

***

Entry 23:
Al2TeW: relaxed, GGA-PBE.

DOS(E_F): 0.741 states/eV per atom
Total magnetization: 0.0 Bohr magnetons per cell
ΔE_f (raw): 1.58 eV per formula unit

a b c (Å): 5.280 5.280 5.280
angles (deg): 141.56 127.88 66.59
Fractional positions:
Al (0.240, 0.240, 0.000)
Al (0.760, 0.760, 0.000)
Te (0.500, 0.000, 0.500)
W (0.000, 0.500, 0.500)

***

Entry 24:
Al2TeW: relaxed, GGA-PBE.

DOS(E_F): 0.567 states/eV per atom
Total magnetization: 0.0 Bohr magnetons per cell
ΔE_f (raw): 1.31 eV per formula unit

a b c (Å): 10.631 10.631 10.631
angles (deg): 16.84 16.84 16.84
Fractional positions:
Al (0.000, 0.000, 0.000)
Al (0.260, 0.260, 0.260)
Te (0.795, 0.795, 0.795)
W (0.526, 0.526, 0.526)

***

Entry 25:
Al2TeW: relaxed, GGA-PBE.

DOS(E_F): 0.818 states/eV per atom
Total magnetization: 0.0 Bohr magnetons per cell
ΔE_f (raw): 1.26 eV per formula unit

a b c (Å): 4.412 6.582 6.582
angles (deg): 25.55 90.00 90.00
Fractional positions:
Al (0.000, 0.000, 0.000)
Al (0.500, 0.142, 0.142)
Te (0.000, 0.286, 0.286)
W (0.500, 0.469, 0.469)

***

Entry 26:
AlTe3W: relaxed, GGA-PBE.

DOS(E_F): 1.054 states/eV per atom
Relative energy among the computed polymorphs: 0.000 eV per atom
Total magnetization: 0.0 Bohr magnetons per cell
ΔE_f (raw): 3.21 eV per formula unit

a b c (Å): 5.360 5.360 5.360
angles (deg): 90.00 90.00 90.00
Fractional positions:
Al (0.000, 0.000, 0.000)
Te (0.000, 0.500, 0.500)
Te (0.500, 0.000, 0.500)
Te (0.500, 0.500, 0.000)
W (0.500, 0.500, 0.500)

***

Entry 27:
Al2TeW: relaxed, GGA-PBE.

DOS(E_F): 0.326 states/eV per atom
Total magnetization: 0.0 Bohr magnetons per cell
ΔE_f (raw): 0.73 eV per formula unit

a b c (Å): 2.914 3.205 8.508
angles (deg): 90.00 90.00 90.00
Fractional positions:
Al (0.000, 0.000, 0.193)
Al (0.000, 0.000, 0.807)
Te (0.000, 0.500, 0.500)
W (0.500, 0.500, 0.000)